Below is Y4ErTm15 after structural relaxation, with properties calculated at the PBE level.

Results
energy relative to the elements = 29.1 meV per atom
VASP energy = -0.356 Ry per atom
M_tot = 0.00 μB/cell
D(E_F) = 28.15 states/eV per cell
space group = P4/mmm (123)
crystal system = tetragonal

```
data_Y4ErTm15
_chemical_formula_sum 'Y4 Er1 Tm15'
_symmetry_space_group_name_H-M 'P 1'
_symmetry_Int_Tables_number 1
_symmetry_space_group_name_Hall 'P 1'
_cell_length_a 4.955
_cell_length_b 4.955
_cell_length_c 24.793
_cell_angle_alpha 90.00
_cell_angle_beta 90.00
_cell_angle_gamma 90.00
loop_
_atom_site_label
_atom_site_type_symbol
_atom_site_fract_x
_atom_site_fract_y
_atom_site_fract_z
_atom_site_occupancy
Y1 Y 0.000 0.000 0.100 1
Y2 Y 0.000 0.000 0.301 1
Y3 Y 0.000 0.000 0.699 1
Y4 Y 0.000 0.000 0.900 1
Er1 Er 0.000 0.000 0.500 1
Tm1 Tm 0.000 0.500 0.000 1
Tm2 Tm 0.000 0.500 0.200 1
Tm3 Tm 0.000 0.500 0.401 1
Tm4 Tm 0.000 0.500 0.599 1
Tm5 Tm 0.000 0.500 0.800 1
Tm6 Tm 0.500 0.000 0.000 1
Tm7 Tm 0.500 0.000 0.200 1
Tm8 Tm 0.500 0.000 0.401 1
Tm9 Tm 0.500 0.000 0.599 1
Tm10 Tm 0.500 0.000 0.800 1
Tm11 Tm 0.500 0.500 0.100 1
Tm12 Tm 0.500 0.500 0.301 1
Tm13 Tm 0.500 0.500 0.500 1
Tm14 Tm 0.500 0.500 0.699 1
Tm15 Tm 0.500 0.500 0.900 1
```



Below is Y2ErTm3 after structural relaxation, with properties calculated at the PBE level.

Results
energy relative to the elements = 29.8 meV per atom
VASP energy = -0.376 Ry per atom
M_tot = 0.00 μB/cell
D(E_F) = 18.30 states/eV per cell
space group = C2/c (15)
crystal system = monoclinic

```
data_Y2ErTm3
_chemical_formula_sum 'Y4 Er2 Tm6'
_symmetry_space_group_name_H-M 'P 1'
_symmetry_Int_Tables_number 1
_symmetry_space_group_name_Hall 'P 1'
_cell_length_a 9.313
_cell_length_b 9.313
_cell_length_c 6.091
_cell_angle_alpha 90.00
_cell_angle_beta 90.00
_cell_angle_gamma 44.42
loop_
_atom_site_label
_atom_site_type_symbol
_atom_site_fract_x
_atom_site_fract_y
_atom_site_fract_z
_atom_site_occupancy
Y1 Y 0.041 0.292 0.084 1
Y2 Y 0.292 0.041 0.584 1
Y3 Y 0.708 0.959 0.416 1
Y4 Y 0.959 0.708 0.916 1
Er1 Er 0.376 0.624 0.750 1
Er2 Er 0.624 0.376 0.250 1
Tm1 Tm 0.126 0.874 0.250 1
Tm2 Tm 0.209 0.459 0.418 1
Tm3 Tm 0.459 0.209 0.918 1
Tm4 Tm 0.541 0.791 0.082 1
Tm5 Tm 0.791 0.541 0.582 1
Tm6 Tm 0.874 0.126 0.750 1
```



Below is Y2Er12Tm5 after structural relaxation, with properties calculated at the PBE level.

Results
energy relative to the elements = 298.2 meV per atom
VASP energy = -0.326 Ry per atom
M_tot = 0.00 μB/cell
D(E_F) = 30.83 states/eV per cell
space group = C2/m (12)
crystal system = monoclinic

```
data_Y2Er12Tm5
_chemical_formula_sum 'Y2 Er12 Tm5'
_symmetry_space_group_name_H-M 'P 1'
_symmetry_Int_Tables_number 1
_symmetry_space_group_name_Hall 'P 1'
_cell_length_a 9.126
_cell_length_b 9.126
_cell_length_c 13.866
_cell_angle_alpha 124.35
_cell_angle_beta 124.35
_cell_angle_gamma 42.73
loop_
_atom_site_label
_atom_site_type_symbol
_atom_site_fract_x
_atom_site_fract_y
_atom_site_fract_z
_atom_site_occupancy
Y1 Y 0.247 0.753 0.000 1
Y2 Y 0.753 0.247 0.000 1
Er1 Er 0.011 0.503 0.207 1
Er2 Er 0.046 0.046 0.644 1
Er3 Er 0.087 0.589 0.492 1
Er4 Er 0.411 0.913 0.508 1
Er5 Er 0.451 0.451 0.205 1
Er6 Er 0.497 0.989 0.793 1
Er7 Er 0.503 0.011 0.207 1
Er8 Er 0.549 0.549 0.795 1
Er9 Er 0.589 0.087 0.492 1
Er10 Er 0.913 0.411 0.508 1
Er11 Er 0.954 0.954 0.356 1
Er12 Er 0.989 0.497 0.793 1
Tm1 Tm 0.109 0.109 0.266 1
Tm2 Tm 0.168 0.168 0.947 1
Tm3 Tm 0.500 0.500 0.500 1
Tm4 Tm 0.832 0.832 0.053 1
Tm5 Tm 0.891 0.891 0.734 1
```



Below is YEr2Tm12 after structural relaxation, with properties calculated at the PBE level.

Results
energy relative to the elements = 93.7 meV per atom
VASP energy = -0.332 Ry per atom
M_tot = 0.00 μB/cell
D(E_F) = 48.34 states/eV per cell
space group = C2/m (12)
crystal system = monoclinic

```
data_YEr2Tm12
_chemical_formula_sum 'Y2 Er4 Tm24'
_symmetry_space_group_name_H-M 'P 1'
_symmetry_Int_Tables_number 1
_symmetry_space_group_name_Hall 'P 1'
_cell_length_a 6.591
_cell_length_b 6.591
_cell_length_c 23.609
_cell_angle_alpha 93.66
_cell_angle_beta 93.66
_cell_angle_gamma 115.44
loop_
_atom_site_label
_atom_site_type_symbol
_atom_site_fract_x
_atom_site_fract_y
_atom_site_fract_z
_atom_site_occupancy
Y1 Y 0.247 0.247 0.478 1
Y2 Y 0.753 0.753 0.522 1
Er1 Er 0.214 0.214 0.213 1
Er2 Er 0.295 0.295 0.785 1
Er3 Er 0.705 0.705 0.215 1
Er4 Er 0.786 0.786 0.787 1
Tm1 Tm 0.000 0.489 0.299 1
Tm2 Tm 0.000 0.511 0.701 1
Tm3 Tm 0.014 0.014 0.343 1
Tm4 Tm 0.088 0.650 0.434 1
Tm5 Tm 0.095 0.095 0.926 1
Tm6 Tm 0.102 0.602 0.944 1
Tm7 Tm 0.190 0.699 0.175 1
Tm8 Tm 0.301 0.810 0.825 1
Tm9 Tm 0.350 0.912 0.566 1
Tm10 Tm 0.398 0.898 0.056 1
Tm11 Tm 0.406 0.406 0.073 1
Tm12 Tm 0.469 0.469 0.639 1
Tm13 Tm 0.489 0.000 0.299 1
Tm14 Tm 0.511 0.000 0.701 1
Tm15 Tm 0.531 0.531 0.361 1
Tm16 Tm 0.594 0.594 0.927 1
Tm17 Tm 0.602 0.102 0.944 1
Tm18 Tm 0.650 0.088 0.434 1
Tm19 Tm 0.699 0.190 0.175 1
Tm20 Tm 0.810 0.301 0.825 1
Tm21 Tm 0.898 0.398 0.056 1
Tm22 Tm 0.905 0.905 0.074 1
Tm23 Tm 0.912 0.350 0.566 1
Tm24 Tm 0.986 0.986 0.657 1
```



Below is Y2ErTm5 after structural relaxation, with properties calculated at the PBE level.

Results
energy relative to the elements = 123.8 meV per atom
VASP energy = -0.357 Ry per atom
M_tot = 0.00 μB/cell
D(E_F) = 22.79 states/eV per cell
space group = P-1 (2)
crystal system = triclinic

```
data_Y2ErTm5
_chemical_formula_sum 'Y4 Er2 Tm10'
_symmetry_space_group_name_H-M 'P 1'
_symmetry_Int_Tables_number 1
_symmetry_space_group_name_Hall 'P 1'
_cell_length_a 6.389
_cell_length_b 9.474
_cell_length_c 9.653
_cell_angle_alpha 106.77
_cell_angle_beta 103.24
_cell_angle_gamma 107.40
loop_
_atom_site_label
_atom_site_type_symbol
_atom_site_fract_x
_atom_site_fract_y
_atom_site_fract_z
_atom_site_occupancy
Y1 Y 0.141 0.236 0.343 1
Y2 Y 0.274 0.572 0.699 1
Y3 Y 0.726 0.428 0.301 1
Y4 Y 0.859 0.764 0.657 1
Er1 Er 0.274 0.062 0.006 1
Er2 Er 0.726 0.938 0.994 1
Tm1 Tm 0.003 0.681 0.990 1
Tm2 Tm 0.009 0.144 0.650 1
Tm3 Tm 0.324 0.638 0.376 1
Tm4 Tm 0.463 0.988 0.676 1
Tm5 Tm 0.498 0.652 0.098 1
Tm6 Tm 0.502 0.348 0.902 1
Tm7 Tm 0.537 0.012 0.324 1
Tm8 Tm 0.676 0.362 0.624 1
Tm9 Tm 0.991 0.856 0.350 1
Tm10 Tm 0.997 0.319 0.010 1
```



Below is YEr6Tm4 after structural relaxation, with properties calculated at the PBE level.

Results
energy relative to the elements = 128.0 meV per atom
VASP energy = -0.336 Ry per atom
M_tot = 0.00 μB/cell
D(E_F) = 38.05 states/eV per cell
space group = Cmcm (63)
crystal system = orthorhombic

```
data_YEr6Tm4
_chemical_formula_sum 'Y2 Er12 Tm8'
_symmetry_space_group_name_H-M 'P 1'
_symmetry_Int_Tables_number 1
_symmetry_space_group_name_Hall 'P 1'
_cell_length_a 5.544
_cell_length_b 5.544
_cell_length_c 25.383
_cell_angle_alpha 90.00
_cell_angle_beta 90.00
_cell_angle_gamma 119.69
loop_
_atom_site_label
_atom_site_type_symbol
_atom_site_fract_x
_atom_site_fract_y
_atom_site_fract_z
_atom_site_occupancy
Y1 Y 0.172 0.828 0.750 1
Y2 Y 0.828 0.172 0.250 1
Er1 Er 0.161 0.839 0.181 1
Er2 Er 0.161 0.839 0.319 1
Er3 Er 0.172 0.828 0.603 1
Er4 Er 0.172 0.828 0.897 1
Er5 Er 0.494 0.506 0.250 1
Er6 Er 0.500 0.500 0.000 1
Er7 Er 0.500 0.500 0.500 1
Er8 Er 0.506 0.494 0.750 1
Er9 Er 0.828 0.172 0.103 1
Er10 Er 0.828 0.172 0.397 1
Er11 Er 0.839 0.161 0.681 1
Er12 Er 0.839 0.161 0.819 1
Tm1 Tm 0.165 0.835 0.042 1
Tm2 Tm 0.165 0.835 0.458 1
Tm3 Tm 0.494 0.506 0.122 1
Tm4 Tm 0.494 0.506 0.378 1
Tm5 Tm 0.506 0.494 0.622 1
Tm6 Tm 0.506 0.494 0.878 1
Tm7 Tm 0.835 0.165 0.542 1
Tm8 Tm 0.835 0.165 0.958 1
```



Below is Y3Er8Tm3 after structural relaxation, with properties calculated at the PBE level.

Results
energy relative to the elements = 110.0 meV per atom
VASP energy = -0.356 Ry per atom
M_tot = 0.00 μB/cell
D(E_F) = 22.24 states/eV per cell
space group = Immm (71)
crystal system = orthorhombic

```
data_Y3Er8Tm3
_chemical_formula_sum 'Y3 Er8 Tm3'
_symmetry_space_group_name_H-M 'P 1'
_symmetry_Int_Tables_number 1
_symmetry_space_group_name_Hall 'P 1'
_cell_length_a 9.530
_cell_length_b 9.530
_cell_length_c 9.530
_cell_angle_alpha 146.15
_cell_angle_beta 111.84
_cell_angle_gamma 78.31
loop_
_atom_site_label
_atom_site_type_symbol
_atom_site_fract_x
_atom_site_fract_y
_atom_site_fract_z
_atom_site_occupancy
Y1 Y 0.000 0.000 0.000 1
Y2 Y 0.181 0.681 0.500 1
Y3 Y 0.819 0.319 0.500 1
Er1 Er 0.120 0.279 0.841 1
Er2 Er 0.238 0.896 0.342 1
Er3 Er 0.438 0.279 0.159 1
Er4 Er 0.445 0.104 0.342 1
Er5 Er 0.555 0.896 0.658 1
Er6 Er 0.562 0.721 0.841 1
Er7 Er 0.762 0.104 0.658 1
Er8 Er 0.880 0.721 0.159 1
Tm1 Tm 0.205 0.500 0.705 1
Tm2 Tm 0.500 0.500 0.000 1
Tm3 Tm 0.795 0.500 0.295 1
```



Below is Y4Er3Tm8 after structural relaxation, with properties calculated at the PBE level.

Results
energy relative to the elements = 407.1 meV per atom
VASP energy = -0.339 Ry per atom
M_tot = 0.02 μB/cell
D(E_F) = 29.32 states/eV per cell
space group = C2/m (12)
crystal system = monoclinic

```
data_Y4Er3Tm8
_chemical_formula_sum 'Y4 Er3 Tm8'
_symmetry_space_group_name_H-M 'P 1'
_symmetry_Int_Tables_number 1
_symmetry_space_group_name_Hall 'P 1'
_cell_length_a 9.185
_cell_length_b 9.185
_cell_length_c 6.655
_cell_angle_alpha 111.16
_cell_angle_beta 111.16
_cell_angle_gamma 87.98
loop_
_atom_site_label
_atom_site_type_symbol
_atom_site_fract_x
_atom_site_fract_y
_atom_site_fract_z
_atom_site_occupancy
Y1 Y 0.000 0.000 0.000 1
Y2 Y 0.000 0.000 0.500 1
Y3 Y 0.000 0.500 0.000 1
Y4 Y 0.500 0.000 0.000 1
Er1 Er 0.000 0.500 0.500 1
Er2 Er 0.500 0.000 0.500 1
Er3 Er 0.500 0.500 0.000 1
Tm1 Tm 0.254 0.746 0.000 1
Tm2 Tm 0.268 0.268 0.512 1
Tm3 Tm 0.270 0.270 0.035 1
Tm4 Tm 0.362 0.638 0.500 1
Tm5 Tm 0.638 0.362 0.500 1
Tm6 Tm 0.730 0.730 0.965 1
Tm7 Tm 0.732 0.732 0.488 1
Tm8 Tm 0.746 0.254 0.000 1
```



Below is Y2ErTm9 after structural relaxation, with properties calculated at the PBE level.

Results
energy relative to the elements = 69.2 meV per atom
VASP energy = -0.349 Ry per atom
M_tot = 0.00 μB/cell
D(E_F) = 21.44 states/eV per cell
space group = P6/mmm (191)
crystal system = hexagonal

```
data_Y2ErTm9
_chemical_formula_sum 'Y2 Er1 Tm9'
_symmetry_space_group_name_H-M 'P 1'
_symmetry_Int_Tables_number 1
_symmetry_space_group_name_Hall 'P 1'
_cell_length_a 11.079
_cell_length_b 11.079
_cell_length_c 3.455
_cell_angle_alpha 90.00
_cell_angle_beta 90.00
_cell_angle_gamma 120.00
loop_
_atom_site_label
_atom_site_type_symbol
_atom_site_fract_x
_atom_site_fract_y
_atom_site_fract_z
_atom_site_occupancy
Y1 Y 0.333 0.667 0.000 1
Y2 Y 0.667 0.333 0.000 1
Er1 Er 0.000 0.000 0.000 1
Tm1 Tm 0.000 0.500 0.000 1
Tm2 Tm 0.176 0.351 0.500 1
Tm3 Tm 0.176 0.824 0.500 1
Tm4 Tm 0.351 0.176 0.500 1
Tm5 Tm 0.500 0.000 0.000 1
Tm6 Tm 0.500 0.500 0.000 1
Tm7 Tm 0.649 0.824 0.500 1
Tm8 Tm 0.824 0.176 0.500 1
Tm9 Tm 0.824 0.649 0.500 1
```



Below is Y4ErTm2 after structural relaxation, with properties calculated at the PBE level.

Results
energy relative to the elements = 142.7 meV per atom
VASP energy = -0.403 Ry per atom
M_tot = 0.00 μB/cell
D(E_F) = 25.88 states/eV per cell
space group = P2_1/m (11)
crystal system = monoclinic

```
data_Y4ErTm2
_chemical_formula_sum 'Y8 Er2 Tm4'
_symmetry_space_group_name_H-M 'P 1'
_symmetry_Int_Tables_number 1
_symmetry_space_group_name_Hall 'P 1'
_cell_length_a 5.879
_cell_length_b 6.695
_cell_length_c 11.621
_cell_angle_alpha 90.00
_cell_angle_beta 104.22
_cell_angle_gamma 90.00
loop_
_atom_site_label
_atom_site_type_symbol
_atom_site_fract_x
_atom_site_fract_y
_atom_site_fract_z
_atom_site_occupancy
Y1 Y 0.140 0.250 0.153 1
Y2 Y 0.261 0.750 0.426 1
Y3 Y 0.346 0.503 0.709 1
Y4 Y 0.346 0.997 0.709 1
Y5 Y 0.654 0.003 0.291 1
Y6 Y 0.654 0.497 0.291 1
Y7 Y 0.739 0.250 0.574 1
Y8 Y 0.860 0.750 0.847 1
Er1 Er 0.010 0.250 0.857 1
Er2 Er 0.990 0.750 0.143 1
Tm1 Tm 0.174 0.250 0.438 1
Tm2 Tm 0.414 0.750 0.005 1
Tm3 Tm 0.586 0.250 0.995 1
Tm4 Tm 0.826 0.750 0.562 1
```



Below is Y3Er2Tm7 after structural relaxation, with properties calculated at the PBE level.

Results
energy relative to the elements = 85.4 meV per atom
VASP energy = -0.360 Ry per atom
M_tot = 0.00 μB/cell
D(E_F) = 18.35 states/eV per cell
space group = P2/m (10)
crystal system = monoclinic

```
data_Y3Er2Tm7
_chemical_formula_sum 'Y3 Er2 Tm7'
_symmetry_space_group_name_H-M 'P 1'
_symmetry_Int_Tables_number 1
_symmetry_space_group_name_Hall 'P 1'
_cell_length_a 6.248
_cell_length_b 3.485
_cell_length_c 17.215
_cell_angle_alpha 90.00
_cell_angle_beta 96.20
_cell_angle_gamma 90.00
loop_
_atom_site_label
_atom_site_type_symbol
_atom_site_fract_x
_atom_site_fract_y
_atom_site_fract_z
_atom_site_occupancy
Y1 Y 0.000 0.000 0.000 1
Y2 Y 0.052 0.500 0.657 1
Y3 Y 0.948 0.500 0.343 1
Er1 Er 0.439 0.000 0.326 1
Er2 Er 0.561 0.000 0.674 1
Tm1 Tm 0.226 0.500 0.166 1
Tm2 Tm 0.246 0.000 0.501 1
Tm3 Tm 0.278 0.000 0.833 1
Tm4 Tm 0.500 0.500 0.000 1
Tm5 Tm 0.722 0.000 0.167 1
Tm6 Tm 0.754 0.000 0.499 1
Tm7 Tm 0.774 0.500 0.834 1
```



Below is YEr7Tm2 after structural relaxation, with properties calculated at the PBE level.

Results
energy relative to the elements = 51.3 meV per atom
VASP energy = -0.344 Ry per atom
M_tot = 0.01 μB/cell
D(E_F) = 18.01 states/eV per cell
space group = C2/m (12)
crystal system = monoclinic

```
data_YEr7Tm2
_chemical_formula_sum 'Y1 Er7 Tm2'
_symmetry_space_group_name_H-M 'P 1'
_symmetry_Int_Tables_number 1
_symmetry_space_group_name_Hall 'P 1'
_cell_length_a 9.347
_cell_length_b 9.347
_cell_length_c 6.952
_cell_angle_alpha 111.76
_cell_angle_beta 111.76
_cell_angle_gamma 33.36
loop_
_atom_site_label
_atom_site_type_symbol
_atom_site_fract_x
_atom_site_fract_y
_atom_site_fract_z
_atom_site_occupancy
Y1 Y 0.000 0.000 0.000 1
Er1 Er 0.000 0.000 0.500 1
Er2 Er 0.200 0.200 0.201 1
Er3 Er 0.389 0.389 0.140 1
Er4 Er 0.389 0.389 0.638 1
Er5 Er 0.611 0.611 0.362 1
Er6 Er 0.611 0.611 0.860 1
Er7 Er 0.800 0.800 0.799 1
Tm1 Tm 0.199 0.199 0.699 1
Tm2 Tm 0.801 0.801 0.301 1
```



VASP energy of number 2 (Y2ErTm3)? -0.376 Ry per atom